A plane-wave DFT calculation with PBE-GGA was carried out for crystalline NdP2Rh4 at its relaxed geometry.

Computed properties:
The value obtained for the formation energy is -0.87 eV/atom. The volume comes out at 219.8 Å³ per cell.

```
data_NdP2Rh4
_chemical_formula_sum 'Nd2 P4 Rh8'
_symmetry_space_group_name_H-M 'P 42/m n m'
_symmetry_Int_Tables_number 136
_symmetry_space_group_name_Hall '-P 4n 2n'
_cell_length_a 7.684
_cell_length_b 7.684
_cell_length_c 3.723
_cell_angle_alpha 90.00
_cell_angle_beta 90.00
_cell_angle_gamma 90.00
loop_
_atom_site_label
_atom_site_type_symbol
_atom_site_fract_x
_atom_site_fract_y
_atom_site_fract_z
Nd1 Nd 0.000 0.000 0.000
P1 P 0.230 0.230 0.500
Rh1 Rh 0.075 0.673 0.500
```